(1)
A geometry-optimized NbSi2C structure. Source: the Open Quantum Materials Database, functional GGA-PBE.

```
NbSi2C
1.0
-2.587 0.891 -0.963
2.054 -0.799 -1.887
-4.604 -12.886 0.442
C Nb Si
2 2 4
direct
0.000 0.000 0.000 C
0.000 0.000 0.500 C
0.667 0.333 0.250 Nb
0.333 0.667 0.750 Nb
0.333 0.667 0.087 Si
0.333 0.667 0.413 Si
0.667 0.333 0.587 Si
0.667 0.333 0.913 Si
```

Properties
Its spin magnetization is 0.000 μB per atom. The value obtained for the uncorrected energy is -7.278 eV per atom. The space-group type is P6_3/mmc.


(2)
A geometry-optimized DyScPt structure. Source: the Open Quantum Materials Database, functional GGA-PBE.

```
DyScPt
1.0
0.000 3.243 3.243
3.243 0.000 3.243
3.243 3.243 0.000
Dy Pt Sc
1 1 1
direct
0.250 0.250 0.250 Dy
0.750 0.750 0.750 Pt
0.000 0.000 0.000 Sc
```

Properties
The excess energy over the best structure of this formula in the dataset comes out at 0 meV per atom. The formation energy comes out at -216 meV per atom. Its spin magnetization is 0.001 μB per atom. The space-group type is F-43m.


(3)
A geometry-optimized SrMgZn2Si structure. Source: the Open Quantum Materials Database, functional GGA-PBE.

```
SrMgZn2Si
1.0
-2.143 2.143 5.858
2.143 -2.143 5.858
2.143 2.143 -5.858
Mg Si Sr Zn
1 1 1 2
direct
0.613 0.613 0.000 Mg
0.381 0.381 0.000 Si
0.986 0.986 0.000 Sr
0.760 0.260 0.500 Zn
0.260 0.760 0.500 Zn
```

Properties
The value obtained for the uncorrected energy is -2.442 eV per atom. The space-group type is I4mm.


(4)
A geometry-optimized Y3Mg3CuAgPt structure. Source: the Open Quantum Materials Database, functional GGA-PBE.

```
Y3Mg3CuAgPt
1.0
7.595 0.000 0.000
-3.798 6.578 0.000
0.000 0.000 4.003
Ag Cu Mg Pt Y
1 1 3 1 3
direct
0.000 0.000 0.000 Ag
0.333 0.667 0.500 Cu
0.091 0.425 0.000 Mg
0.575 0.666 0.000 Mg
0.334 0.909 0.000 Mg
0.667 0.333 0.000 Pt
0.735 0.087 0.500 Y
0.352 0.265 0.500 Y
0.913 0.648 0.500 Y
```

Properties
Its spin magnetization is 0.005 μB per atom. The value obtained for the uncorrected energy is -4.578 eV per atom. The space-group type is P-6.


(5)
A geometry-optimized Ta2GaFe structure. Source: the Open Quantum Materials Database, functional GGA-PBE.

```
Ta2GaFe
1.0
1.802 -0.244 4.056
-2.617 -0.297 3.580
-0.201 -3.801 2.296
Fe Ga Ta
1 1 2
direct
0.250 0.250 0.250 Fe
0.500 0.500 0.500 Ga
0.000 0.000 0.000 Ta
0.750 0.750 0.750 Ta
```

Properties
Its spin magnetization is 0.698 μB per atom. The value obtained for the uncorrected energy is -8.598 eV per atom. The space-group type is F-43m.


(6)
A geometry-optimized ZnAgGe2 structure. Source: the Open Quantum Materials Database, functional GGA-PBE.

```
ZnAgGe2
1.0
0.000 3.321 3.321
3.321 0.000 3.321
3.321 3.321 0.000
Ag Ge Zn
1 2 1
direct
0.500 0.500 0.500 Ag
0.000 0.000 0.000 Ge
0.250 0.250 0.250 Ge
0.750 0.750 0.750 Zn
```

Properties
The value obtained for the uncorrected energy is -3.092 eV per atom. The space-group type is F-43m.


(7)
A geometry-optimized ZrAlHg2 structure. Source: the Open Quantum Materials Database, functional GGA-PBE.

```
ZrAlHg2
1.0
-2.818 1.668 3.662
-3.219 3.617 -0.829
-4.820 -0.949 0.019
Al Hg Zr
1 2 1
direct
0.500 0.500 0.500 Al
0.000 0.000 0.000 Hg
0.750 0.750 0.750 Hg
0.250 0.250 0.250 Zr
```

Properties
Its spin magnetization is 0.048 μB per atom. The value obtained for the uncorrected energy is -3.077 eV per atom. The space-group type is F-43m.


(8)
A geometry-optimized Y2FeH6Ir structure. Source: the Open Quantum Materials Database, functional GGA-PBE.

```
Y2FeH6Ir
1.0
0.000 3.588 3.588
3.588 0.000 3.588
3.588 3.588 0.000
Fe H Ir Y
1 6 1 2
direct
0.000 0.000 0.000 Fe
0.761 0.239 0.239 H
0.239 0.761 0.239 H
0.761 0.761 0.239 H
0.239 0.239 0.761 H
0.761 0.239 0.761 H
0.239 0.761 0.761 H
0.500 0.500 0.500 Ir
0.250 0.250 0.250 Y
0.750 0.750 0.750 Y
```

Properties
Its spin magnetization is 0.000 μB per atom. The value obtained for the uncorrected energy is -5.433 eV per atom. The space-group type is Fm-3m.


(9)
A geometry-optimized LiPmBe structure. Source: the Open Quantum Materials Database, functional GGA-PBE.

```
LiPmBe
1.0
0.127 -4.486 -0.595
2.247 -2.610 2.938
-2.277 -2.721 2.811
Be Li Pm
1 1 1
direct
0.500 0.500 0.500 Be
0.250 0.250 0.250 Li
0.000 0.000 0.000 Pm
```

Properties
The excess energy over the best structure of this formula in the dataset comes out at 0 meV per atom. Its spin magnetization is 0.226 μB per atom. The space-group type is F-43m.


(10)
A geometry-optimized TbSm2S3 structure. Source: the Open Quantum Materials Database, functional GGA-PBE.

```
TbSm2S3
1.0
3.973 0.000 0.000
-1.987 3.441 0.000
0.000 0.000 9.759
S Sm Tb
3 2 1
direct
0.333 0.667 0.161 S
0.000 0.000 0.500 S
0.667 0.333 0.839 S
0.667 0.333 0.332 Sm
0.333 0.667 0.668 Sm
0.000 0.000 0.000 Tb
```

Properties
Its spin magnetization is 0.000 μB per atom. The value obtained for the uncorrected energy is -6.429 eV per atom. The space-group type is P-3m1.


(11)
A geometry-optimized TmZnTc structure. Source: the Open Quantum Materials Database, functional GGA-PBE.

```
TmZnTc
1.0
0.000 3.227 3.227
3.227 0.000 3.227
3.227 3.227 0.000
Tc Tm Zn
1 1 1
direct
0.250 0.250 0.250 Tc
0.000 0.000 0.000 Tm
0.750 0.750 0.750 Zn
```

Properties
The excess energy over the best structure of this formula in the dataset comes out at 619 meV per atom. The formation energy comes out at 970 meV per atom. Its spin magnetization is 0.549 μB per atom. The space-group type is F-43m.


(12)
A geometry-optimized Cs2Pm4Cu4S9 structure. Source: the Open Quantum Materials Database, functional GGA-PBE.

```
Cs2Pm4Cu4S9
1.0
7.125 -2.025 0.000
7.125 2.025 0.000
-5.236 0.000 15.612
Cs Cu Pm S
2 4 4 9
direct
0.527 0.527 0.270 Cs
0.473 0.473 0.730 Cs
0.930 0.930 0.038 Cu
0.256 0.256 0.276 Cu
0.744 0.744 0.724 Cu
0.070 0.070 0.962 Cu
0.730 0.730 0.102 Pm
0.846 0.846 0.447 Pm
0.154 0.154 0.553 Pm
0.270 0.270 0.898 Pm
0.362 0.362 0.074 S
0.104 0.104 0.120 S
0.836 0.836 0.276 S
0.206 0.206 0.400 S
0.500 0.500 0.500 S
0.794 0.794 0.600 S
0.164 0.164 0.724 S
0.896 0.896 0.880 S
0.638 0.638 0.926 S
```

Properties
Its spin magnetization is 0.000 μB per atom. The value obtained for the uncorrected energy is -5.218 eV per atom. The space-group type is C2/m.


(13)
A geometry-optimized PaBeSi structure. Source: the Open Quantum Materials Database, functional GGA-PBE.

```
PaBeSi
1.0
0.000 3.205 3.205
3.205 0.000 3.205
3.205 3.205 0.000
Be Pa Si
1 1 1
direct
0.500 0.500 0.500 Be
0.250 0.250 0.250 Pa
0.000 0.000 0.000 Si
```

Properties
The excess energy over the best structure of this formula in the dataset comes out at 1120 meV per atom. Its spin magnetization is 0.030 μB per atom. The space-group type is F-43m.